DFT (PBE+U) results for a geometry-optimized CaMnO3 structure.

POSCAR file:
```
CaMnO3
1.0
3.805 0.000 0.000
0.000 3.805 0.000
0.000 0.000 3.805
Ca Mn O
1 1 3
Direct
0.000 0.000 0.000
0.500 0.500 0.500
0.000 0.500 0.500
0.500 0.000 0.500
0.500 0.500 0.000
```

Summary:
- N(E_F): 1.33 states/eV/cell
- VASP energy: -6.8617 eV/atom